(1)
10
Lattice="3.7850 2.1853 6.9900 -3.7850 2.1853 6.9900 0.0000 -4.3706 6.9900" Properties=species:S:1:pos:R:3 comment="Ac6Ni2OsAu (PBE, relaxed)" n_ef_per_ev_cell=7.57 crystal_system=trigonal pbc="T T T"
Ac -1.2660 -2.1645 6.9900
Ac -2.7460 0.0848 10.3471
Ac -1.2415 2.1786 6.9900
Ac 1.2996 -2.4204 10.3471
Ac 2.5075 -0.0141 6.9900
Ac 1.4464 2.3357 10.3471
Ni 0.0000 0.0000 5.2789
Ni 0.0000 0.0000 15.6899
Os 0.0000 0.0000 1.5189
Au 0.0000 0.0000 11.9897


(2)
10
Lattice="3.8636 2.2307 6.9959 -3.8636 2.2307 6.9959 0.0000 -4.4613 6.9959" Properties=species:S:1:pos:R:3 comment="Ac6NiPd2Au (PBE, relaxed)" n_ef_per_ev_cell=8.14 crystal_system=trigonal pbc="T T T"
Ac -1.1880 -2.2142 6.9959
Ac -2.3823 0.1278 10.4625
Ac -1.3236 2.1359 6.9959
Ac 1.0805 -2.1271 10.4625
Ac 2.5116 0.0783 6.9959
Ac 1.3019 1.9992 10.4625
Ni 0.0000 0.0000 8.6443
Pd 0.0000 0.0000 1.7521
Pd 0.0000 0.0000 12.4395
Au 0.0000 0.0000 19.0070


(3)
4
Lattice="4.7359 0.0000 0.0000 0.0000 2.0460 5.5372 0.0000 -2.0460 5.5372" Properties=species:S:1:pos:R:3 comment="AcPrNiAu (PBE, relaxed)" n_ef_per_ev_cell=3.43 crystal_system=orthorhombic pbc="T T T"
Ac 0.0000 0.0000 0.0000
Pr 2.3679 0.0000 3.0760
Ni 0.0000 0.0000 7.9983
Au 2.3679 0.0000 6.2844


(4)
4
Lattice="0.0000 3.7411 3.7411 3.7411 0.0000 3.7411 3.7411 3.7411 0.0000" Properties=species:S:1:pos:R:3 comment="AcPrNiAu (PBE, relaxed)" n_ef_per_ev_cell=3.66 crystal_system=cubic pbc="T T T"
Ac 0.0000 0.0000 0.0000
Pr 3.7411 3.7411 3.7411
Ni 1.8705 1.8705 1.8705
Au 5.6116 5.6116 5.6116


Q: Which uncorrected energy values were calculated for the entries above? A: -5.31 -4.89 -4.98 -4.89, in eV/atom.